An optimized crystal structure of YBe2Ir2, computed with PBE-GGA.

a = 5.2921 Å, b = 5.2921 Å, c = 5.2921 Å
α = 133.59°, β = 133.59°, γ = 67.72°
With the nearest neighbours (Å) after each atom.
Positions (direct):
Y 0.0000 0.0000 0.0000  8 Ir 3.03, 10 Be 3.08-3.23
Be 0.3502 0.3502 0.0000  4 Ir 2.26
Be 0.6498 0.6498 0.0000  4 Ir 2.26
Ir 0.2500 0.7500 0.5000  4 Be 2.26
Ir 0.7500 0.2500 0.5000  4 Be 2.26

Output
- DFT total energy: -35.03 eV for the cell shown
- Calculated formation energy: -0.679 eV per atom
- Crystal system: tetragonal

---

An optimized crystal structure of SrCaAc2Tl2, computed with PBE-GGA.

a = 5.4093 Å, b = 10.2325 Å, c = 8.1367 Å
α = 90.00°, β = 90.00°, γ = 90.00°
With the nearest neighbours (Å) after each atom.
Positions (direct):
Sr 0.0000 0.0600 0.0000  3 Tl 3.45-3.58
Sr 0.0000 0.9400 0.5000  3 Tl 3.45-3.58
Ca 0.5000 0.1751 0.6840  4 Tl 3.29-3.38
Ca 0.5000 0.8249 0.1840  4 Tl 3.29-3.38
Ac 0.0000 0.3232 0.3683  4 Tl 3.39-3.41
Ac 0.0000 0.6768 0.8683  4 Tl 3.39-3.41
Ac 0.5000 0.4365 0.0458  3 Tl 3.54-3.55, 4 Ac 3.93-3.94
Ac 0.5000 0.5635 0.5458  3 Tl 3.54-3.55, 4 Ac 3.93-3.94
Tl 0.0000 0.3506 0.7862  2 Ca 3.35, 4 Ac 3.40-3.54, 1 Sr 3.45
Tl 0.0000 0.6494 0.2862  2 Ca 3.35, 4 Ac 3.40-3.54, 1 Sr 3.45
Tl 0.5000 0.1394 0.2709  2 Ca 3.29-3.38, 3 Ac 3.39-3.55, 2 Sr 3.58
Tl 0.5000 0.8606 0.7709  2 Ca 3.29-3.38, 3 Ac 3.39-3.55, 2 Sr 3.58

Output
- DFT total energy: -37.05 eV for the cell shown
- Calculated formation energy: -0.315 eV per atom
- Crystal system: orthorhombic

---

An optimized crystal structure of KLi4As, computed with PBE-GGA.

a = 5.6403 Å, b = 5.6403 Å, c = 5.6403 Å
α = 60.00°, β = 60.00°, γ = 60.00°
With the nearest neighbours (Å) after each atom.
Positions (direct):
K 0.0000 0.0000 0.0000  12 Li 3.31, 4 As 3.45
Li 0.1265 0.6245 0.6245  6 Li 2.81-2.83
Li 0.6245 0.1265 0.6245  6 Li 2.81-2.83
Li 0.6245 0.6245 0.1265  6 Li 2.81-2.83
Li 0.6245 0.6245 0.6245  6 Li 2.81-2.83
As 0.2500 0.2500 0.2500  12 Li 3.31, 4 K 3.45

Output
- DFT total energy: -13.89 eV for the cell shown
- Calculated formation energy: -0.082 eV per atom
- Crystal system: cubic